## PmMn2Pt5 (GGA-PBE)

Data for a geometry-optimized PmMn2Pt5 structure.

Computed properties:
E_tot ... -7.098 eV per atom

```
data_PmMn2Pt5
_chemical_formula_sum 'Pm2 Mn4 Pt10'
_cell_length_a 3.8973
_cell_length_b 7.2462
_cell_length_c 10.1202
_cell_angle_alpha 90.00
_cell_angle_beta 90.00
_cell_angle_gamma 90.00
_space_group_name_H-M_alt 'I m m m'
_space_group_IT_number 71
_space_group_name_Hall '-I 2 2'
loop_
_atom_site_label
_atom_site_type_symbol
_atom_site_fract_x
_atom_site_fract_y
_atom_site_fract_z
Pm1 Pm 0.0000 0.0000 0.0000
Mn1 Mn 0.0000 0.5000 0.2474
Pt1 Pt 0.0000 0.1973 0.3591
Pt2 Pt 0.0000 0.5000 0.0000
```

## Pm2MnSb3Pt4 (GGA-PBE)

Data for a geometry-optimized Pm2MnSb3Pt4 structure.

Computed properties:
Uncorrected formation energy ... -0.77 eV per atom

```
data_Pm2MnSb3Pt4
_chemical_formula_sum 'Pm2 Mn1 Sb3 Pt4'
_cell_length_a 4.4531
_cell_length_b 4.4531
_cell_length_c 10.9623
_cell_angle_alpha 90.00
_cell_angle_beta 90.00
_cell_angle_gamma 90.00
_space_group_name_H-M_alt 'P -4 m 2'
_space_group_IT_number 115
loop_
_space_group_symop_operation_xyz
'x,y,z'
'y,-x,-z'
'-x,-y,z'
'-y,x,-z'
'-x,y,z'
'-y,-x,-z'
'x,-y,z'
'y,x,-z'
loop_
_atom_site_label
_atom_site_type_symbol
_atom_site_fract_x
_atom_site_fract_y
_atom_site_fract_z
Pm1 Pm 0.0000 0.5000 0.2408
Mn1 Mn 0.0000 0.0000 0.5000
Sb1 Sb 0.0000 0.5000 0.8640
Sb2 Sb 0.5000 0.5000 0.5000
Pt1 Pt 0.0000 0.0000 0.0000
Pt2 Pt 0.0000 0.5000 0.6297
Pt3 Pt 0.5000 0.5000 0.0000
```

## Pm2MnSi4Pt3 (GGA-PBE)

Data for a geometry-optimized Pm2MnSi4Pt3 structure.

Computed properties:
Uncorrected formation energy ... -0.99 eV per atom

```
data_Pm2MnSi4Pt3
_chemical_formula_sum 'Pm2 Mn1 Si4 Pt3'
_cell_length_a 4.1904
_cell_length_b 4.1904
_cell_length_c 10.0760
_cell_angle_alpha 90.00
_cell_angle_beta 90.00
_cell_angle_gamma 90.00
_space_group_name_H-M_alt 'P -4 m 2'
_space_group_IT_number 115
loop_
_space_group_symop_operation_xyz
'x,y,z'
'y,-x,-z'
'-x,-y,z'
'-y,x,-z'
'-x,y,z'
'-y,-x,-z'
'x,-y,z'
'y,x,-z'
loop_
_atom_site_label
_atom_site_type_symbol
_atom_site_fract_x
_atom_site_fract_y
_atom_site_fract_z
Pm1 Pm 0.0000 0.5000 0.2472
Mn1 Mn 0.0000 0.0000 0.5000
Si1 Si 0.0000 0.0000 0.0000
Si2 Si 0.0000 0.5000 0.6333
Si3 Si 0.5000 0.5000 0.0000
Pt1 Pt 0.0000 0.5000 0.8773
Pt2 Pt 0.5000 0.5000 0.5000
```

## Pm2MnSiPt6 (GGA-PBE)

Data for a geometry-optimized Pm2MnSiPt6 structure.

Computed properties:
Uncorrected formation energy ... -0.79 eV per atom

```
data_Pm2MnSiPt6
_chemical_formula_sum 'Pm4 Mn2 Si2 Pt12'
_cell_length_a 11.6672
_cell_length_b 5.5019
_cell_length_c 8.2965
_cell_angle_alpha 90.00
_cell_angle_beta 131.87
_cell_angle_gamma 90.00
_space_group_name_H-M_alt 'C 1 2/m 1'
_space_group_IT_number 12
loop_
_space_group_symop_operation_xyz
'x,y,z'
'-x,-y,-z'
'-x,y,-z'
'x,-y,z'
'x+1/2,y+1/2,z'
'-x+1/2,-y+1/2,-z'
'-x+1/2,y+1/2,-z'
'x+1/2,-y+1/2,z'
loop_
_atom_site_label
_atom_site_type_symbol
_atom_site_fract_x
_atom_site_fract_y
_atom_site_fract_z
Pm1 Pm 0.2377 0.0000 0.2015
Mn1 Mn 0.0000 0.5000 0.0000
Si1 Si 0.0000 0.0000 0.5000
Pt1 Pt 0.0067 0.2514 0.7464
Pt2 Pt 0.2497 0.0000 0.6088
```

## Pm2MnSi3Pt4 (GGA-PBE)

Data for a geometry-optimized Pm2MnSi3Pt4 structure.

Computed properties:
Uncorrected formation energy ... -0.99 eV per atom

```
data_Pm2MnSi3Pt4
_chemical_formula_sum 'Pm2 Mn1 Si3 Pt4'
_cell_length_a 4.2659
_cell_length_b 4.2659
_cell_length_c 9.9835
_cell_angle_alpha 90.00
_cell_angle_beta 90.00
_cell_angle_gamma 90.00
_space_group_name_H-M_alt 'P -4 m 2'
_space_group_IT_number 115
loop_
_space_group_symop_operation_xyz
'x,y,z'
'y,-x,-z'
'-x,-y,z'
'-y,x,-z'
'-x,y,z'
'-y,-x,-z'
'x,-y,z'
'y,x,-z'
loop_
_atom_site_label
_atom_site_type_symbol
_atom_site_fract_x
_atom_site_fract_y
_atom_site_fract_z
Pm1 Pm 0.0000 0.5000 0.2461
Mn1 Mn 0.5000 0.5000 0.0000
Si1 Si 0.0000 0.0000 0.0000
Si2 Si 0.0000 0.5000 0.6281
Pt1 Pt 0.0000 0.0000 0.5000
Pt2 Pt 0.0000 0.5000 0.8651
Pt3 Pt 0.5000 0.5000 0.5000
```

## Pm2MnSn4Pt3 (GGA-PBE)

Data for a geometry-optimized Pm2MnSn4Pt3 structure.

Computed properties:
E_tot ... -5.984 eV per atom

```
data_Pm2MnSn4Pt3
_chemical_formula_sum 'Pm2 Mn1 Sn4 Pt3'
_cell_length_a 4.4352
_cell_length_b 4.4352
_cell_length_c 11.4132
_cell_angle_alpha 90.00
_cell_angle_beta 90.00
_cell_angle_gamma 90.00
_space_group_name_H-M_alt 'P -4 m 2'
_space_group_IT_number 115
loop_
_space_group_symop_operation_xyz
'x,y,z'
'y,-x,-z'
'-x,-y,z'
'-y,x,-z'
'-x,y,z'
'-y,-x,-z'
'x,-y,z'
'y,x,-z'
loop_
_atom_site_label
_atom_site_type_symbol
_atom_site_fract_x
_atom_site_fract_y
_atom_site_fract_z
Pm1 Pm 0.0000 0.5000 0.2428
Mn1 Mn 0.5000 0.5000 0.0000
Sn1 Sn 0.0000 0.0000 0.5000
Sn2 Sn 0.0000 0.5000 0.8654
Sn3 Sn 0.5000 0.5000 0.5000
Pt1 Pt 0.0000 0.0000 0.0000
Pt2 Pt 0.0000 0.5000 0.6361
```